Compound: SrHoZn4
Source: Alexandria via LeMat-Bulk
Functional: PBE-GGA
Structure: relaxed

## Properties
The calculated total energy is -2.091 eV per atom. The value obtained for the formation energy from the elements is -198 meV/atom.

Structure (extended XYZ):
```
6
Lattice="0.000 3.961 3.961 3.961 0.000 3.961 3.961 3.961 0.000" Properties=species:S:1:pos:R:3 pbc="T T T"
Sr 0.000 0.000 0.000
Ho 1.980 1.980 1.980
Zn 4.939 2.982 2.982
Zn 2.982 4.939 2.982
Zn 2.982 2.982 4.939
Zn 4.939 4.939 4.939
```

Compound: Ga2RhBr2
Source: Alexandria via LeMat-Bulk
Functional: PBE-GGA
Structure: relaxed

## Properties
The calculated total energy is -3.159 eV per atom. For the uncorrected formation energy, the calculation gives 0.191 eV per atom.

Structure (extended XYZ):
```
5
Lattice="-2.849 2.849 3.735 2.849 -2.849 3.735 2.849 2.849 -3.735" Properties=species:S:1:pos:R:3 pbc="T T T"
Ga 0.000 0.000 1.298
Ga 0.000 0.000 6.172
Rh 0.000 0.000 3.735
Br 2.849 0.000 1.867
Br 0.000 2.849 1.867
```

Compound: La6CdTc2
Source: Alexandria via LeMat-Bulk
Functional: PBE-GGA
Structure: relaxed

## Properties
The calculated total energy is -5.791 eV per atom. The value obtained for the formation energy from the elements is -101 meV/atom.

Structure (extended XYZ):
```
18
Lattice="-4.984 5.102 5.337 4.984 -5.102 5.337 4.984 5.102 -5.337" Properties=species:S:1:pos:R:3 pbc="T T T"
La 4.984 2.989 -2.879
La 2.840 1.903 0.000
La 7.128 1.903 0.000
La 1.855 5.102 -1.851
La 3.129 0.000 3.486
La 0.000 2.113 2.458
La 4.984 2.989 2.879
La 1.855 5.102 1.851
La 3.129 0.000 7.188
La -2.144 3.199 5.337
La 2.144 3.199 5.337
La 0.000 2.113 8.216
Cd 0.000 0.000 0.000
Cd 0.000 0.000 5.337
Tc 4.984 0.000 1.225
Tc 0.000 3.321 0.000
Tc 0.000 6.883 0.000
Tc 0.000 5.102 4.112
```

Compound: Cu2OsRuRh
Source: Alexandria via LeMat-Bulk
Functional: PBE-GGA
Structure: relaxed

## Properties
The calculated total energy is -5.467 eV per atom. The value obtained for the formation energy from the elements is 1743 meV/atom.

Structure (extended XYZ):
```
5
Lattice="4.534 0.000 0.000 0.000 4.534 0.000 0.000 0.000 4.558" Properties=species:S:1:pos:R:3 pbc="T T T"
Cu 0.000 2.267 0.000
Cu 2.267 0.000 0.000
Os 0.000 0.000 2.279
Ru 0.000 0.000 0.000
Rh 2.267 2.267 2.279
```

Compound: La3PaSe4
Source: Alexandria via LeMat-Bulk
Functional: PBE-GGA
Structure: relaxed

## Properties
The calculated total energy is -6.546 eV per atom. For the uncorrected formation energy, the calculation gives -1.769 eV per atom.

Structure (extended XYZ):
```
8
Lattice="4.275 -6.013 0.000 4.275 6.013 0.000 0.000 0.000 4.228" Properties=species:S:1:pos:R:3 pbc="T T T"
La 0.000 0.000 0.000
La 2.137 3.006 2.114
La 2.137 -3.006 2.114
Pa 4.275 0.000 0.000
Se 4.275 2.936 0.000
Se 2.227 0.000 2.114
Se 6.322 0.000 2.114
Se 4.275 -2.936 0.000
```

Compound: PmPd2Au5
Source: Alexandria via LeMat-Bulk
Functional: PBE-GGA
Structure: relaxed

## Properties
The calculated total energy is -4.242 eV per atom. The value obtained for the formation energy from the elements is -302 meV/atom.

Structure (extended XYZ):
```
8
Lattice="-2.082 4.136 4.648 2.082 -4.136 4.648 2.082 4.136 -4.648" Properties=species:S:1:pos:R:3 pbc="T T T"
Pm 0.000 0.000 0.000
Pd 2.082 0.000 1.908
Pd 0.000 4.136 2.739
Au 2.082 2.663 -1.451
Au 2.082 2.663 1.451
Au 0.000 4.136 0.000
Au 0.000 1.473 3.196
Au 0.000 1.473 6.099
```

Compound: SrOsW
Source: Alexandria via LeMat-Bulk
Functional: PBE-GGA
Structure: relaxed

## Properties
The calculated total energy is -8.023 eV per atom. The value obtained for the formation energy from the elements is 598 meV/atom.

Structure (extended XYZ):
```
3
Lattice="-1.633 1.633 6.273 1.633 -1.633 6.273 1.633 1.633 -6.273" Properties=species:S:1:pos:R:3 pbc="T T T"
Sr 0.000 0.000 0.000
Os 0.000 0.000 3.762
W 0.000 0.000 8.939
```

Compound: Sn2TeS2
Source: Alexandria via LeMat-Bulk
Functional: PBE-GGA
Structure: relaxed

## Properties
The calculated total energy is -3.991 eV per atom. For the uncorrected formation energy, the calculation gives -0.111 eV per atom.

Structure (extended XYZ):
```
10
Lattice="8.894 0.000 0.000 0.000 8.894 0.000 0.000 0.000 3.663" Properties=species:S:1:pos:R:3 pbc="T T T"
Sn 2.208 2.239 0.000
Sn 2.239 6.686 0.000
Sn 6.655 2.208 0.000
Sn 6.686 6.655 0.000
Te 0.000 0.000 0.000
Te 4.447 4.447 0.000
S 0.991 3.456 1.832
S 3.456 7.903 1.832
S 5.438 0.991 1.832
S 7.903 5.438 1.832
```